# 1
Computed, not measured: a relaxed HoScOs crystal at the PBE level of DFT.

Calculated values
* Fermi-level density of states: 0.6213 states/eV/atom
* E above lowest polymorph: 91 kJ/mol of formula units
* M_tot: 0.000 μB per formula unit
* calculated volume: 436.86 Å³/cell
* space group: R-3, No. 148

a = 7.6850 Å, b = 7.6850 Å, c = 7.6850 Å
α = 98.59°, β = 98.59°, γ = 98.59°
Positions (direct):
Ho1 0.1804 0.5354 0.4207
Ho2 0.4207 0.1804 0.5354
Ho3 0.4646 0.5793 0.8196
Ho4 0.5354 0.4207 0.1804
Ho5 0.5793 0.8196 0.4646
Ho6 0.8196 0.4646 0.5793
Sc1 0.0694 0.3202 0.9254
Sc2 0.0746 0.9306 0.6798
Sc3 0.3202 0.9254 0.0694
Sc4 0.6798 0.0746 0.9306
Sc5 0.9254 0.0694 0.3202
Sc6 0.9306 0.6798 0.0746
Os1 0.1229 0.6371 0.8023
Os2 0.1977 0.8771 0.3629
Os3 0.3629 0.1977 0.8771
Os4 0.6371 0.8023 0.1229
Os5 0.8023 0.1229 0.6371
Os6 0.8771 0.3629 0.1977



# 2
Computed, not measured: a relaxed HoScOs4 crystal at the PBE level of DFT.

Calculated values
* Fermi-level density of states: 0.9532 states/eV/atom
* M_tot: 0.000 μB per formula unit
* VASP energy: -9.60 eV/atom
* calculated volume: 104.59 Å³/cell
* space group: F-43m, No. 216

a = 5.2886 Å, b = 5.2886 Å, c = 5.2886 Å
α = 60.00°, β = 60.00°, γ = 60.00°
Positions (direct):
Ho1 0.0000 0.0000 0.0000
Sc1 0.7500 0.7500 0.7500
Os1 0.3752 0.3752 0.3752
Os2 0.3752 0.3752 0.8743
Os3 0.3752 0.8743 0.3752
Os4 0.8743 0.3752 0.3752



# 3
Computed, not measured: a relaxed HoScOs crystal at the PBE level of DFT.

Calculated values
* Fermi-level density of states: 0.5111 states/eV/atom
* E above lowest polymorph: 17 kJ/mol of formula units
* M_tot: 0.000 μB per formula unit
* calculated volume: 67.47 Å³/cell
* space group: I4mm, No. 107

a = 6.6181 Å, b = 6.6181 Å, c = 6.6181 Å
α = 151.12°, β = 151.12°, γ = 41.30°
Positions (direct):
Ho1 0.0000 0.0000 0.0000
Sc1 0.2576 0.2576 0.0000
Os1 0.6390 0.6390 0.0000



# 4
Computed, not measured: a relaxed Ho2ScOs crystal at the PBE level of DFT.

Calculated values
* Fermi-level density of states: 0.6437 states/eV/atom
* E above lowest polymorph: 0 kJ/mol of formula units
* M_tot: 0.000 μB per formula unit
* calculated volume: 394.83 Å³/cell
* space group: Pnma, No. 62

a = 7.1526 Å, b = 8.8890 Å, c = 6.2100 Å
α = 90.00°, β = 90.00°, γ = 90.00°
Positions (direct):
Ho1 0.1770 0.0608 0.1734
Ho2 0.1770 0.4392 0.1734
Ho3 0.3230 0.5608 0.6734
Ho4 0.3230 0.9392 0.6734
Ho5 0.6770 0.0608 0.3266
Ho6 0.6770 0.4392 0.3266
Ho7 0.8230 0.5608 0.8266
Ho8 0.8230 0.9392 0.8266
Sc1 0.0415 0.2500 0.6296
Sc2 0.4585 0.7500 0.1296
Sc3 0.5415 0.2500 0.8704
Sc4 0.9585 0.7500 0.3704
Os1 0.1183 0.7500 0.9818
Os2 0.3817 0.2500 0.4818
Os3 0.6183 0.7500 0.5182
Os4 0.8817 0.2500 0.0182



# 5
Computed, not measured: a relaxed HoSc3Os crystal at the PBE level of DFT.

Calculated values
* Fermi-level density of states: 1.3513 states/eV/atom
* M_tot: 0.337 μB per formula unit
* VASP energy: -7.11 eV/atom
* calculated volume: 250.30 Å³/cell
* space group: C2/m, No. 12

a = 6.8885 Å, b = 6.8885 Å, c = 7.4174 Å
α = 122.48°, β = 122.48°, γ = 71.68°
Positions (direct):
Ho1 0.0542 0.0542 0.2782
Ho2 0.9458 0.9458 0.7218
Sc1 0.0803 0.4652 0.8221
Sc2 0.4392 0.4392 0.6355
Sc3 0.4652 0.0803 0.8221
Sc4 0.5348 0.9197 0.1779
Sc5 0.5608 0.5608 0.3645
Sc6 0.9197 0.5348 0.1779
Os1 0.2569 0.2569 0.1290
Os2 0.7431 0.7431 0.8710



# 6
Computed, not measured: a relaxed HoScOs crystal at the PBE level of DFT.

Calculated values
* Fermi-level density of states: 0.3041 states/eV/atom
* E above lowest polymorph: 39 kJ/mol of formula units
* M_tot: 0.000 μB per formula unit
* calculated volume: 70.18 Å³/cell
* space group: F-43m, No. 216

a = 4.6299 Å, b = 4.6299 Å, c = 4.6299 Å
α = 60.00°, β = 60.00°, γ = 60.00°
Positions (direct):
Ho1 0.0000 0.0000 0.0000
Sc1 0.5000 0.5000 0.5000
Os1 0.7500 0.7500 0.7500